No. 1
Here is an optimized crystal structure of BeAg2Cl from the Alexandria database. Energies are from GGA-PBEsol.

## Properties
As for the density of states at the Fermi level: 1.1 states/eV/f.u. As for the formation energy (no corrections): 0.3 eV/f.u. The value obtained for the energy relative to the lowest polymorph listed for this composition is 0.000 eV per formula unit. The theoretical density comes out at 6.46 g cm⁻³. Its final energy is -3.073 eV per atom.

a b c (Å): 2.853 2.853 8.218
angles (deg): 90.00 90.00 90.00
Space group P4mm (No. 99)
Symmetry-distinct sites (fractional):
Be 0.000 0.000 0.000 x1
Ag 0.000 0.000 0.539 x1
Ag 0.500 0.500 0.789 x1
Cl 0.500 0.500 0.150 x1


No. 2
Here is an optimized crystal structure of RbIn3Ir from the Alexandria database. Energies are from GGA-PBEsol.

## Properties
As for the density of states at the Fermi level: 3.2 states/eV/f.u. The theoretical density comes out at 7.40 g cm⁻³. The formation energy comes out at -0.1319 eV per atom. Its final energy is -4.091 eV per atom.

a b c (Å): 5.188 5.188 5.188
angles (deg): 90.00 90.00 90.00
Space group Pm-3m (No. 221)
Symmetry-distinct sites (fractional):
Rb 0.000 0.000 0.000 x1
In 0.000 0.500 0.500 x3
Ir 0.500 0.500 0.500 x1


No. 3
Here is an optimized crystal structure of LiZn5 from the Alexandria database. Energies are from GGA-PBEsol.

## Properties
As for the density of states at the Fermi level: 1.5 states/eV/f.u. The value obtained for the energy relative to the lowest polymorph listed for this composition is 0.000 eV per formula unit. The theoretical density comes out at 6.76 g cm⁻³. The formation energy comes out at -0.1223 eV per atom. Its final energy is -1.768 eV per atom.

a b c (Å): 4.7041 4.7041 4.2791
angles (deg): 90.00 90.00 120.00
Space group P-62m (No. 189)
Symmetry-distinct sites (fractional):
Li 0.0000 0.0000 0.0000 x1
Zn 0.0000 0.6660 0.5000 x3
Zn 0.3333 0.6667 0.0000 x2


No. 4
Here is an optimized crystal structure of InRh2Au from the Alexandria database. Energies are from GGA-PBEsol.

## Properties
As for the density of states at the Fermi level: 4.5 states/eV/f.u. The theoretical density comes out at 13.73 g cm⁻³. The formation energy comes out at -0.1363 eV per atom. Its final energy is -5.932 eV per atom.

a b c (Å): 4.381 4.381 3.260
angles (deg): 90.00 90.00 90.00
Space group P4/mmm (No. 123)
Symmetry-distinct sites (fractional):
In 0.000 0.000 0.000 x1
Rh 0.000 0.500 0.500 x2
Au 0.500 0.500 0.000 x1


- Look up the final energy of the first one.
  -3.073 eV per atom